Computed, not measured: a relaxed structure of Ca2AlZn4Ag3 at the PBE-GGA level of DFT.

Lattice parameters (Å, degrees): 4.120 4.120 12.076 90.00 90.00 90.00
Space group P-4m2 (No. 115)
One atom of each set of equivalent atoms:
1 Ca 0.000 0.500 0.243 [2 per cell]
2 Al 0.500 0.500 0.000 [1 per cell]
3 Zn 0.000 0.000 0.500 [1 per cell]
4 Zn 0.000 0.500 0.859 [2 per cell]
5 Zn 0.500 0.500 0.500 [1 per cell]
6 Ag 0.000 0.000 0.000 [1 per cell]
7 Ag 0.000 0.500 0.644 [2 per cell]

## Properties
Formation energy from the elements (eV/atom): -0.20
N(E_F) (states/eV/cell): 5.571

=====

Computed, not measured: a relaxed structure of MgCuW2 at the PBE-GGA level of DFT.

Lattice parameters (Å, degrees): 3.190 4.237 9.313 90.00 90.00 90.00
Space group Immm (No. 71)
One atom of each set of equivalent atoms:
1 Mg 0.000 0.000 0.000 [2 per cell]
2 Cu 0.000 0.000 0.500 [2 per cell]
3 W 0.000 0.500 0.238 [4 per cell]

## Properties
Formation energy from the elements (eV/atom): 0.36
N(E_F) (states/eV/cell): 4.783

=====

Computed, not measured: a relaxed structure of PuH3Pd at the PBE-GGA level of DFT.

Lattice parameters (Å, degrees): 7.561 10.677 5.298 90.00 90.00 90.00
Space group Cmce (No. 64)
One atom of each set of equivalent atoms:
1 Pu 0.250 0.148 0.250 [8 per cell]
2 H 0.000 0.047 0.181 [8 per cell]
3 H 0.000 0.246 0.531 [8 per cell]
4 H 0.250 0.110 0.750 [8 per cell]
5 Pd 0.000 0.104 0.703 [8 per cell]

## Properties
N(E_F) (states/eV/cell): 77.181
Final energy (eV per cell): -247.013

=====

Computed, not measured: a relaxed structure of Sm4ZnNi3 at the PBE-GGA level of DFT.

Lattice parameters (Å, degrees): 3.815 4.387 10.596 90.00 90.00 90.00
Space group Pmm2 (No. 25)
One atom of each set of equivalent atoms:
1 Sm 0.000 0.000 0.000 [1 per cell]
2 Sm 0.000 0.500 0.265 [1 per cell]
3 Sm 0.500 0.000 0.478 [1 per cell]
4 Sm 0.500 0.500 0.773 [1 per cell]
5 Zn 0.000 0.000 0.696 [1 per cell]
6 Ni 0.000 0.500 0.562 [1 per cell]
7 Ni 0.500 0.000 0.202 [1 per cell]
8 Ni 0.500 0.500 0.063 [1 per cell]

## Properties
Formation energy from the elements (eV/atom): -0.34
N(E_F) (states/eV/cell): 6.510

=====

Computed, not measured: a relaxed structure of TlSiO3 at the PBE-GGA level of DFT.

Lattice parameters (Å, degrees): 6.990 4.738 8.147 90.00 115.05 90.00
Space group P2_1/c (No. 14)
One atom of each set of equivalent atoms:
1 Tl 0.119 0.204 0.141 [4 per cell]
2 Si 0.421 0.735 0.438 [4 per cell]
3 O 0.179 0.649 0.269 [4 per cell]
4 O 0.331 0.069 0.462 [4 per cell]
5 O 0.445 0.535 0.621 [4 per cell]

## Properties
Formation energy without anion corrections (meV per atom): -1706

=====

Computed, not measured: a relaxed structure of Hf2MgSc6 at the PBE-GGA level of DFT.

Lattice parameters (Å, degrees): 3.2448 3.2448 23.7770 90.00 90.00 120.00
Space group P-6m2 (No. 187)
One atom of each set of equivalent atoms:
1 Hf 0.0000 0.0000 0.1684 [2 per cell]
2 Mg 0.3333 0.6667 0.5000 [1 per cell]
3 Sc 0.0000 0.0000 0.3854 [2 per cell]
4 Sc 0.3333 0.6667 0.0643 [2 per cell]
5 Sc 0.3333 0.6667 0.2749 [2 per cell]

## Properties
Formation energy from the elements (eV/atom): 0.04
N(E_F) (states/eV/cell): 14.644
E above lowest polymorph (kcal/mol of atoms): 0.00